# 1
DFT (GGA-PBE) results for a geometry-optimized NbAlRe2 structure.

Output
DOS(E_F)   5.05 states/eV per cell
Size of the total moment   0.0 μB per formula unit
Formation enthalpy at 0 K   -0.14 eV per atom
Space group   P4/mmm (123)

Lattice parameters (Å, degrees): 3.2065 4.3970 4.3970 90.00 90.00 90.00
With the nearest neighbours (Å) after each atom.
Sites, in units of the cell vectors:
Nb 0.5000 0.0000 0.0000  8 Re 2.72
Re 0.0000 0.0000 0.5000  4 Nb 2.72, 4 Al 2.72
Re 0.0000 0.5000 0.0000  4 Nb 2.72, 4 Al 2.72
Al 0.5000 0.5000 0.5000  8 Re 2.72


# 2
DFT (GGA-PBE) results for a geometry-optimized Nb2Al2Re structure.

Output
DOS(E_F)   11.06 states/eV per cell
Size of the total moment   0.0 μB per formula unit
Formation enthalpy at 0 K   -0.17 eV per atom
Space group   P4/mbm (127)

Lattice parameters (Å, degrees): 6.7565 6.7565 3.5503 90.00 90.00 90.00
With the nearest neighbours (Å) after each atom.
Sites, in units of the cell vectors:
Nb 0.1715 0.6715 0.5000  6 Al 2.59-2.72
Al 0.8691 0.6309 0.0000  1 Al 2.50, 6 Nb 2.59-2.72, 2 Re 2.65
Re 0.5000 0.5000 0.0000  4 Al 2.65
Al 0.6309 0.1309 0.0000  1 Al 2.50, 6 Nb 2.59-2.72, 2 Re 2.65
Nb 0.8285 0.3285 0.5000  6 Al 2.59-2.72
Nb 0.3285 0.1715 0.5000  6 Al 2.59-2.72
Al 0.3691 0.8691 0.0000  1 Al 2.50, 6 Nb 2.59-2.72, 2 Re 2.65
Re 0.0000 0.0000 0.0000  4 Al 2.65
Nb 0.6715 0.8285 0.5000  6 Al 2.59-2.72
Al 0.1309 0.3691 0.0000  1 Al 2.50, 6 Nb 2.59-2.72, 2 Re 2.65


# 3
DFT (GGA-PBE) results for a geometry-optimized NbAl3Re structure.

Output
DOS(E_F)   3.75 states/eV per cell
Size of the total moment   2.1 μB per formula unit
Formation enthalpy at 0 K   0.70 eV per atom
Space group   Pm-3m (221)
Energy above the lowest structure with this stoichiometry   0.000 eV/atom

Lattice parameters (Å, degrees): 4.6747 4.6747 4.6747 90.00 90.00 90.00
With the nearest neighbours (Å) after each atom.
Sites, in units of the cell vectors:
Al 0.0000 0.5000 0.0000  2 Re 2.34
Al 0.5000 0.0000 0.0000  2 Re 2.34
Re 0.0000 0.0000 0.0000  6 Al 2.34
Nb 0.5000 0.5000 0.5000  12 Al 3.31
Al 0.0000 0.0000 0.5000  2 Re 2.34


# 4
DFT (GGA-PBE) results for a geometry-optimized Nb3AlRe structure.

Output
DOS(E_F)   4.67 states/eV per cell
Size of the total moment   0.0 μB per formula unit
Formation enthalpy at 0 K   1.07 eV per atom
Space group   Pm-3m (221)

Lattice parameters (Å, degrees): 4.8442 4.8442 4.8442 90.00 90.00 90.00
With the nearest neighbours (Å) after each atom.
Sites, in units of the cell vectors:
Re 0.0000 0.0000 0.0000  6 Nb 2.42
Al 0.5000 0.5000 0.5000  12 Nb 3.43
Nb 0.0000 0.0000 0.5000  2 Re 2.42
Nb 0.5000 0.0000 0.0000  2 Re 2.42
Nb 0.0000 0.5000 0.0000  2 Re 2.42


# 5
DFT (GGA-PBE) results for a geometry-optimized Nb2AlRe structure.

Output
DOS(E_F)   4.19 states/eV per cell
Size of the total moment   0.0 μB per formula unit
Formation enthalpy at 0 K   0.06 eV per atom
Space group   R-3m (166)

Lattice parameters (Å, degrees): 2.9693 2.9693 9.1380 80.65 80.65 60.00
With the nearest neighbours (Å) after each atom.
Sites, in units of the cell vectors:
Nb 0.2530 0.2530 0.2409  3 Re 2.76, 3 Al 2.89, 6 Nb 2.97
Al 0.5000 0.5000 0.5000  6 Nb 2.89, 6 Al 2.97
Re 0.0000 0.0000 0.0000  6 Nb 2.76, 6 Re 2.97
Nb 0.7470 0.7470 0.7591  3 Re 2.76, 3 Al 2.89, 6 Nb 2.97


# 6
DFT (GGA-PBE) results for a geometry-optimized Nb4Al2Re structure.

Output
DOS(E_F)   8.10 states/eV per cell
Size of the total moment   0.0 μB per formula unit
Formation enthalpy at 0 K   0.99 eV per atom
Space group   I4/mmm (139)

Lattice parameters (Å, degrees): 4.7813 4.7813 7.6489 71.79 71.79 90.00
With the nearest neighbours (Å) after each atom.
Sites, in units of the cell vectors:
Nb 0.5000 0.0000 0.0000  2 Re 2.39
Al 0.6243 0.6243 0.7514  5 Nb 2.69-2.94
Nb 0.0000 0.5000 0.0000  2 Re 2.39
Al 0.3757 0.3757 0.2486  5 Nb 2.69-2.94
Nb 0.8201 0.8201 0.3598  1 Re 2.47, 1 Al 2.69
Re 0.0000 0.0000 0.0000  6 Nb 2.39-2.47
Nb 0.1799 0.1799 0.6402  1 Re 2.47, 1 Al 2.69


# 7
DFT (GGA-PBE) results for a geometry-optimized NbAlRe2 structure.

Output
DOS(E_F)   8.03 states/eV per cell
Size of the total moment   0.0 μB per formula unit
Formation enthalpy at 0 K   0.75 eV per atom
Space group   I-42d (122)

Lattice parameters (Å, degrees): 7.1480 7.1480 5.7154 51.29 51.29 90.00
With the nearest neighbours (Å) after each atom.
Sites, in units of the cell vectors:
Re 0.1265 0.6250 0.2500  2 Al 2.61, 2 Nb 2.62, 2 Re 2.67
Re 0.3750 0.3765 0.7500  2 Al 2.61, 2 Nb 2.62, 2 Re 2.67
Nb 0.0000 0.0000 0.0000  4 Re 2.62, 2 Al 2.67
Al 0.5000 0.5000 0.0000  4 Re 2.61, 2 Nb 2.67
Al 0.2500 0.7500 0.5000  4 Re 2.61, 2 Nb 2.67
Re 0.8750 0.8735 0.7500  2 Al 2.61, 2 Nb 2.62, 2 Re 2.67
Nb 0.7500 0.2500 0.5000  4 Re 2.62, 2 Al 2.67
Re 0.6235 0.1250 0.2500  2 Al 2.61, 2 Nb 2.62, 2 Re 2.67


# 8
DFT (GGA-PBE) results for a geometry-optimized Nb5AlRe6 structure.

Output
DOS(E_F)   8.45 states/eV per cell
Size of the total moment   0.0 μB per formula unit
Formation enthalpy at 0 K   -0.24 eV per atom
Space group   Immm (71)

Lattice parameters (Å, degrees): 4.5021 6.3791 7.8056 114.12 106.76 90.00
With the nearest neighbours (Å) after each atom.
Sites, in units of the cell vectors:
Re 0.5000 0.7475 0.0000  6 Nb 2.71-2.76, 2 Al 2.77
Nb 0.0000 0.5000 0.0000  8 Re 2.75-2.77
Re 0.8326 0.5826 0.6652  7 Nb 2.74-2.81, 1 Al 2.77
Nb 0.3326 0.3326 0.6652  8 Re 2.74-2.76
Re 0.8326 0.0826 0.6652  7 Nb 2.74-2.81, 1 Al 2.77
Al 0.0000 0.0000 0.0000  8 Re 2.77
Nb 0.3384 0.8384 0.6768  8 Re 2.71-2.81
Nb 0.6674 0.6674 0.3348  8 Re 2.74-2.76
Re 0.5000 0.2525 0.0000  6 Nb 2.71-2.76, 2 Al 2.77
Re 0.1674 0.4174 0.3348  7 Nb 2.74-2.81, 1 Al 2.77
Nb 0.6616 0.1616 0.3232  8 Re 2.71-2.81
Re 0.1674 0.9174 0.3348  7 Nb 2.74-2.81, 1 Al 2.77